1.
# KLaIr3 (PBE, optimized geometry)
# Polymorph energy (0 for the lowest one), meV/atom: 0
# Volume, Å³/atom: 26.7
# Size of the total moment, μB per cell: 0.9
# Energy relative to the elements, eV per atom: 1.522
data_KLaIr3
_symmetry_space_group_name_H-M 'P m -3 m'
_symmetry_Int_Tables_number 221
_symmetry_space_group_name_Hall '-P 4 2 3'
_cell_length_a 5.108
_cell_length_b 5.108
_cell_length_c 5.108
_cell_angle_alpha 90.00
_cell_angle_beta 90.00
_cell_angle_gamma 90.00
loop_
_atom_site_label
_atom_site_fract_x
_atom_site_fract_y
_atom_site_fract_z
K1 0.000 0.000 0.000
La1 0.500 0.500 0.500
Ir1 0.000 0.500 0.500



2.
# KLa2Ir (PBE, optimized geometry)
# Polymorph energy (0 for the lowest one), meV/atom: 244
# Volume, Å³/atom: 41.5
# Size of the total moment, μB per cell: 0.0
# Energy relative to the elements, eV per atom: -0.190
data_KLa2Ir
_symmetry_space_group_name_H-M 'I m m 2'
_symmetry_Int_Tables_number 44
_symmetry_space_group_name_Hall 'I 2 -2'
_cell_length_a 3.812
_cell_length_b 4.069
_cell_length_c 21.411
_cell_angle_alpha 90.00
_cell_angle_beta 90.00
_cell_angle_gamma 90.00
loop_
_atom_site_label
_atom_site_fract_x
_atom_site_fract_y
_atom_site_fract_z
K1 0.000 0.000 0.000
La1 0.000 0.000 0.670
La2 0.000 0.500 0.817
Ir1 0.000 0.500 0.266



3.
# KLa2Ir (PBE, optimized geometry)
# Polymorph energy (0 for the lowest one), meV/atom: 717
# Volume, Å³/atom: 27.5
# Size of the total moment, μB per cell: 0.0
# Energy relative to the elements, eV per atom: 0.283
data_KLa2Ir
_symmetry_space_group_name_H-M 'I -4 m 2'
_symmetry_Int_Tables_number 119
_symmetry_space_group_name_Hall 'I -4 -2'
_cell_length_a 4.400
_cell_length_b 4.400
_cell_length_c 11.374
_cell_angle_alpha 90.00
_cell_angle_beta 90.00
_cell_angle_gamma 90.00
loop_
_atom_site_label
_atom_site_fract_x
_atom_site_fract_y
_atom_site_fract_z
K1 0.000 0.000 0.000
La1 0.000 0.000 0.500
La2 0.000 0.500 0.750
Ir1 0.000 0.500 0.250